Entry 1:
TePtBr: relaxed, PBE.

The structure belongs to space group Cm (No. 8); the cell edges are 12.271, 3.594 and 3.441 Å and the angles 90.00°, 92.92° and 90.00°. The asymmetric unit holds Te at (0.000, 0.000, 0.000), Pt at (0.099, 0.500, 0.533) and Br at (0.262, 0.000, 0.541).



Entry 2:
TePtBr2: relaxed, PBE.

The structure belongs to space group Pmmm (No. 47); the cell edges are 3.262, 4.767 and 5.996 Å and the angles 90.00°, 90.00° and 90.00°. The asymmetric unit holds Te at (0.000, 0.000, 0.000), Pt at (0.500, 0.000, 0.500), Br at (0.000, 0.500, 0.500) and Br at (0.500, 0.500, 0.000).



Entry 3:
TiTe2PtBr: relaxed, PBE.

The structure belongs to space group P4/mmm (No. 123); the cell edges are 5.614, 5.614 and 4.687 Å and the angles 90.00°, 90.00° and 90.00°. The asymmetric unit holds Ti at (0.000, 0.000, 0.000), Te at (0.000, 0.500, 0.500), Pt at (0.500, 0.500, 0.000) and Br at (0.500, 0.500, 0.500).



Entry 4:
ThPtBr: relaxed, PBE.

The structure belongs to space group P2_1/m (No. 11); the cell edges are 5.334, 4.387 and 7.794 Å and the angles 90.00°, 103.98° and 90.00°. The asymmetric unit holds Th at (0.074, 0.250, 0.307), Pt at (0.331, 0.750, 0.512) and Br at (0.231, 0.250, 0.943).



Entry 5:
Ti2PtBr: relaxed, PBE.

The energy above the lowest structure with this stoichiometry comes out at 0.00 eV per formula unit.

The structure belongs to space group Fm-3m (No. 225); the cell edges are 6.472, 6.472 and 6.472 Å and the angles 90.00°, 90.00° and 90.00°. The asymmetric unit holds Ti at (0.250, 0.250, 0.250), Pt at (0.000, 0.000, 0.000) and Br at (0.000, 0.000, 0.500).



Entry 6:
Ti3PtBr: relaxed, PBE.

The energy above the lowest structure with this stoichiometry comes out at 0.59 eV per formula unit.

The structure belongs to space group Pm-3m (No. 221); the cell edges are 4.575, 4.575 and 4.575 Å and the angles 90.00°, 90.00° and 90.00°. The asymmetric unit holds Ti at (0.000, 0.000, 0.500), Pt at (0.500, 0.500, 0.500) and Br at (0.000, 0.000, 0.000).



Entry 7:
TiPt2Br: relaxed, PBE.

The energy above the lowest structure with this stoichiometry comes out at 0.00 eV per formula unit.

The structure belongs to space group I-42d (No. 122); the cell edges are 6.503, 6.503 and 8.783 Å and the angles 90.00°, 90.00° and 90.00°. The asymmetric unit holds Ti at (0.000, 0.000, 0.000), Pt at (0.222, 0.750, 0.125) and Br at (0.000, 0.000, 0.500).



Entry 8:
Ti3PtBr: relaxed, PBE.

The energy above the lowest structure with this stoichiometry comes out at 0.00 eV per formula unit.

The structure belongs to space group Pm-3m (No. 221); the cell edges are 4.927, 4.927 and 4.927 Å and the angles 90.00°, 90.00° and 90.00°. The asymmetric unit holds Ti at (0.000, 0.000, 0.500), Pt at (0.000, 0.000, 0.000) and Br at (0.500, 0.500, 0.500).



Entry 9:
Ti2PtBr: relaxed, PBE.

The energy above the lowest structure with this stoichiometry comes out at 0.26 eV per formula unit.

The structure belongs to space group I-42d (No. 122); the cell edges are 6.856, 6.856 and 6.440 Å and the angles 90.00°, 90.00° and 90.00°. The asymmetric unit holds Ti at (0.249, 0.250, 0.125), Pt at (0.000, 0.000, 0.000) and Br at (0.000, 0.000, 0.500).



Entry 10:
TiPt2Br: relaxed, PBE.

The energy above the lowest structure with this stoichiometry comes out at 0.07 eV per formula unit.

The structure belongs to space group Fm-3m (No. 225); the cell edges are 6.541, 6.541 and 6.541 Å and the angles 90.00°, 90.00° and 90.00°. The asymmetric unit holds Ti at (0.000, 0.000, 0.000), Pt at (0.250, 0.250, 0.250) and Br at (0.000, 0.000, 0.500).



Entry 11:
Y2TiPtBr: relaxed, PBE.

The structure belongs to space group P4/mmm (No. 123); the cell edges are 5.593, 5.593 and 4.771 Å and the angles 90.00°, 90.00° and 90.00°. The asymmetric unit holds Y at (0.000, 0.500, 0.000), Ti at (0.000, 0.000, 0.500), Pt at (0.000, 0.000, 0.000) and Br at (0.500, 0.500, 0.500).



Entry 12:
ZrTiPt2Br: relaxed, PBE.

The structure belongs to space group P4/mmm (No. 123); the cell edges are 4.665, 4.665 and 5.371 Å and the angles 90.00°, 90.00° and 90.00°. The asymmetric unit holds Zr at (0.000, 0.000, 0.000), Ti at (0.000, 0.000, 0.500), Pt at (0.000, 0.500, 0.500) and Br at (0.500, 0.500, 0.000).



Entry 13:
TlPt2Br: relaxed, PBE.

The energy above the lowest structure with this stoichiometry comes out at 1.11 eV per formula unit.

The structure belongs to space group Pmmm (No. 47); the cell edges are 3.089, 4.628 and 5.662 Å and the angles 90.00°, 90.00° and 90.00°. The asymmetric unit holds Tl at (0.000, 0.000, 0.000), Pt at (0.000, 0.500, 0.500), Pt at (0.500, 0.500, 0.000) and Br at (0.500, 0.000, 0.500).



Entry 14:
Tl3PtBr8: relaxed, PBE.

The structure belongs to space group P6_3mc (No. 186); the cell edges are 9.4799, 9.4799 and 10.2978 Å and the angles 90.00°, 90.00° and 120.00°. The asymmetric unit holds Tl at (0.1520, 0.3040, 0.0000), Pt at (0.3333, 0.6667, 0.5170), Br at (0.0000, 0.0000, 0.2826), Br at (0.0843, 0.5422, 0.3776), Br at (0.2066, 0.4131, 0.6544) and Br at (0.3333, 0.6667, 0.0553).



Entry 15:
Tl3PtBr: relaxed, PBE.

The energy above the lowest structure with this stoichiometry comes out at 0.80 eV per formula unit.

The structure belongs to space group C2/c (No. 15); the cell edges are 11.487, 14.875 and 7.261 Å and the angles 90.00°, 91.68° and 90.00°. The asymmetric unit holds Tl at (0.120, 0.072, 0.099), Tl at (0.121, 0.363, 0.065), Tl at (0.142, 0.194, 0.566), Pt at (0.000, 0.075, 0.750), Pt at (0.000, 0.223, 0.250) and Br at (0.135, 0.422, 0.594).



Entry 16:
Tl3PtBr: relaxed, PBE.

The energy above the lowest structure with this stoichiometry comes out at 0.82 eV per formula unit.

The structure belongs to space group R-3 (No. 148, hexagonal axes); the cell edges are 7.4473, 7.4473 and 19.8654 Å and the angles 90.00°, 90.00° and 120.00°. The asymmetric unit holds Tl at (0.0064, 0.4376, 0.0900), Pt at (0.0000, 0.0000, 0.3289) and Br at (0.0000, 0.0000, 0.1011).



Entry 17:
Tl3PtBr: relaxed, PBE.

The energy above the lowest structure with this stoichiometry comes out at 0.47 eV per formula unit.

The structure belongs to space group P2_1/m (No. 11); the cell edges are 5.545, 6.348 and 8.366 Å and the angles 90.00°, 90.12° and 90.00°. The asymmetric unit holds Tl at (0.000, 0.000, 0.000), Tl at (0.001, 0.250, 0.382), Tl at (0.500, 0.250, 0.716), Pt at (0.000, 0.250, 0.717) and Br at (0.499, 0.750, 0.848).



Entry 18:
Tl3PtBr: relaxed, PBE.

The energy above the lowest structure with this stoichiometry comes out at 0.63 eV per formula unit.

The structure belongs to space group Fd-3m (No. 227, origin choice 2); the cell edges are 14.204, 14.204 and 14.204 Å and the angles 90.00°, 90.00° and 90.00°. The asymmetric unit holds Tl at (0.083, 0.375, 0.375), Pt at (0.000, 0.000, 0.000) and Br at (0.000, 0.000, 0.500).



Entry 19:
TlPt2Br: relaxed, PBE.

The energy above the lowest structure with this stoichiometry comes out at 1.61 eV per formula unit.

The structure belongs to space group F-43m (No. 216); the cell edges are 6.838, 6.838 and 6.838 Å and the angles 90.00°, 90.00° and 90.00°. The asymmetric unit holds Tl at (0.000, 0.000, 0.000), Pt at (0.000, 0.000, 0.500), Pt at (0.250, 0.250, 0.250) and Br at (0.250, 0.250, 0.750).



Entry 20:
Tl3PtBr: relaxed, PBE.

The energy above the lowest structure with this stoichiometry comes out at 1.41 eV per formula unit.

The structure belongs to space group Cmcm (No. 63); the cell edges are 6.934, 14.239 and 6.869 Å and the angles 90.00°, 90.00° and 90.00°. The asymmetric unit holds Tl at (0.000, 0.000, 0.000), Tl at (0.228, 0.216, 0.250), Pt at (0.000, 0.145, 0.750) and Br at (0.000, 0.446, 0.750).



Entry 21:
Tl3PtBr: relaxed, PBE.

The energy above the lowest structure with this stoichiometry comes out at 0.00 eV per formula unit.

The structure belongs to space group P-1 (No. 2); the cell edges are 7.631, 7.631 and 7.632 Å and the angles 119.98°, 90.01° and 119.99°. The asymmetric unit holds Tl at (0.237, 0.495, 0.258), Tl at (0.251, 0.000, 0.254), Tl at (0.262, 0.503, 0.762), Pt at (0.000, 0.500, 0.000), Pt at (0.500, 0.500, 0.500) and Br at (0.249, 0.996, 0.748).



Entry 22:
TlPt2Br: relaxed, PBE.

The energy above the lowest structure with this stoichiometry comes out at 1.01 eV per formula unit.

The structure belongs to space group Immm (No. 71); the cell edges are 3.116, 5.580 and 9.258 Å and the angles 90.00°, 90.00° and 90.00°. The asymmetric unit holds Tl at (0.000, 0.000, 0.000), Pt at (0.000, 0.500, 0.251) and Br at (0.000, 0.000, 0.500).



Entry 23:
Tl4PtBr: relaxed, PBE.

The structure belongs to space group F-43m (No. 216); the cell edges are 8.946, 8.946 and 8.946 Å and the angles 90.00°, 90.00° and 90.00°. The asymmetric unit holds Tl at (0.125, 0.125, 0.125), Pt at (0.000, 0.000, 0.500) and Br at (0.250, 0.250, 0.750).



no.,Fermi-level density of states (states/eV per cell),VASP energy (eV per atom)
1,3.97,-3.663
2,1.85,-2.625
3,10.49,-3.267
4,5.28,-6.258
5,17.66,-6.122
6,6.32,-5.894
7,16.17,-5.322
8,3.39,-6.013
9,18.85,-6.057
10,20.16,-5.304
11,3.03,-6.071
12,5.09,-5.525
13,2.58,-3.679
14,30.30,-2.709
15,7.86,-3.206
16,6.02,-3.201
17,1.31,-3.271
18,29.12,-3.240
19,2.72,-3.554
20,7.26,-3.083
21,1.24,-3.366
22,5.98,-3.705
23,13.30,-2.577